Computed, not measured: crystalline LiAu2 at its relaxed geometry at the PBEsol level of DFT.

The space group is Fm-3m (No. 225) and the conventional cell measures 5.7868, 5.7868 and 5.7868 Å, with angles of 90.00, 90.00 and 90.00 degrees. The asymmetric unit holds Li at (0.0000, 0.0000, 0.0000) and Au at (0.2500, 0.2500, 0.2500).

The formation enthalpy at 0 K comes out at -0.162 eV per atom.

---

Computed, not measured: crystalline ReSe4Cl6 at its relaxed geometry at the PBEsol level of DFT.

The space group is Pccn (No. 56) and the conventional cell measures 10.4239, 10.9020 and 10.3100 Å, with angles of 90.00, 90.00 and 90.00 degrees. The asymmetric unit holds Re at (0.0000, 0.0000, 0.0000), Se at (0.0878, 0.1031, 0.4217), Se at (0.1121, 0.6029, 0.9763), Cl at (0.0886, 0.6636, 0.6179), Cl at (0.1322, 0.1358, 0.1090) and Cl at (0.1568, 0.5242, 0.3384).

The total energy comes out at -179.2 eV per cell.

---

Computed, not measured: crystalline YReIO2 at its relaxed geometry at the PBEsol level of DFT.

The space group is P4/mmm (No. 123) and the conventional cell measures 4.2161, 4.2161 and 6.1676 Å, with angles of 90.00, 90.00 and 90.00 degrees. The asymmetric unit holds Y at (0.0000, 0.0000, 0.0000), Re at (0.5000, 0.5000, 0.5000), I at (0.0000, 0.0000, 0.5000) and O at (0.0000, 0.5000, 0.0000).

The total energy comes out at -33.0 eV per cell.

---

Computed, not measured: crystalline LiBiRh2 at its relaxed geometry at the PBEsol level of DFT.

The space group is Fm-3m (No. 225) and the conventional cell measures 6.2573, 6.2573 and 6.2573 Å, with angles of 90.00, 90.00 and 90.00 degrees. The asymmetric unit holds Li at (0.0000, 0.0000, 0.0000), Bi at (0.0000, 0.0000, 0.5000) and Rh at (0.2500, 0.2500, 0.2500).

The formation enthalpy at 0 K comes out at -0.262 eV per atom.

---

Going through the records in order, we get spin magnetization values of 0.00 2.99 5.04 0.00 μB per formula unit.